First-principles (PBE) data for a geometry-optimized Tb2ZrSc4 structure, as listed in Alexandria via LeMat-Bulk. Values from VASP.

Geometry as Quantum ESPRESSO input:
```
&SYSTEM
  ibrav = 0, nat = 7, ntyp = 3
/
ATOMIC_SPECIES
Zr 91.22 Zr.upf
Sc 44.96 Sc.upf
Tb 158.93 Tb.upf
CELL_PARAMETERS angstrom
3.3751 0.0000 0.0000
-1.6876 2.9113 -0.2470
0.0000 -0.3675 18.6983
ATOMIC_POSITIONS crystal
Zr 0.8100 0.6200 0.6701
Sc 0.5214 0.0429 0.8045
Sc 0.0013 0.0027 0.2388
Sc 0.4322 0.8644 0.5370
Sc 0.9020 0.8039 0.9424
Tb 0.7161 0.4322 0.3852
Tb 0.6183 0.2367 0.0900
```

Excess energy over the best structure of this formula in the dataset, eV/f.u.: 0.00
Uncorrected energy, eV/cell: -42.89
Spin magnetization, Bohr magnetons per cell: 0.17
Volume, Å³/cell: 183
Crystal system: monoclinic
Calculated formation energy, eV per atom: 0.035

---

First-principles (PBE) data for a geometry-optimized Li3Ac12La5 structure, as listed in Alexandria via LeMat-Bulk. Values from VASP.

Geometry as Quantum ESPRESSO input:
```
&SYSTEM
  ibrav = 0, nat = 80, ntyp = 3
/
ATOMIC_SPECIES
Ac 227.00 Ac.upf
Li 6.94 Li.upf
La 138.91 La.upf
CELL_PARAMETERS angstrom
-13.5496 7.0489 -6.6028
-1.1542 -16.5470 -1.3188
1.1817 4.2157 16.0532
ATOMIC_POSITIONS crystal
Ac 0.2668 0.3972 0.8278
Ac 0.5694 0.9390 0.6722
Ac 0.8696 0.2668 0.4390
Ac 0.0610 0.4306 0.8278
Ac 0.9390 0.3696 0.2668
Ac 0.1722 0.0694 0.9390
Ac 0.6304 0.5694 0.8972
Ac 0.7332 0.1304 0.0610
Ac 0.3696 0.4306 0.1028
Ac 0.1028 0.9306 0.3696
Ac 0.1722 0.1028 0.7332
Ac 0.5694 0.6304 0.3972
Ac 0.3278 0.5610 0.4306
Ac 0.0694 0.8972 0.1304
Ac 0.3278 0.7668 0.3972
Ac 0.8972 0.8278 0.7668
Ac 0.9390 0.5694 0.1722
Ac 0.9306 0.1028 0.8696
Ac 0.3972 0.2668 0.3278
Ac 0.0610 0.6304 0.7332
Ac 0.1028 0.1722 0.2332
Ac 0.5610 0.3278 0.9306
Ac 0.6722 0.4390 0.5694
Ac 0.7668 0.3278 0.8972
Ac 0.4306 0.0610 0.3278
Ac 0.3972 0.1304 0.5694
Ac 0.6304 0.0610 0.2332
Ac 0.8696 0.6028 0.9306
Ac 0.2332 0.6722 0.1028
Ac 0.3696 0.9390 0.7668
Ac 0.1304 0.7332 0.5610
Ac 0.6028 0.8696 0.4306
Ac 0.6722 0.2332 0.6028
Ac 0.8972 0.0694 0.6304
Ac 0.5610 0.2332 0.1304
Ac 0.7332 0.6028 0.1722
Ac 0.8278 0.9306 0.0610
Ac 0.0694 0.1722 0.4390
Ac 0.4306 0.3696 0.6028
Ac 0.9306 0.8278 0.5610
Ac 0.8278 0.8972 0.2668
Ac 0.4390 0.7668 0.8696
Ac 0.4390 0.6722 0.0694
Ac 0.2668 0.8696 0.9390
Ac 0.1304 0.3972 0.0694
Ac 0.2332 0.5610 0.6304
Ac 0.6028 0.7332 0.6722
Ac 0.7668 0.4390 0.3696
Li 0.3750 0.6250 0.2500
Li 0.6250 0.2500 0.3750
Li 0.2500 0.1250 0.3750
Li 0.1250 0.2500 0.8750
Li 0.7500 0.8750 0.6250
Li 0.8750 0.1250 0.2500
Li 0.1250 0.8750 0.7500
Li 0.6250 0.3750 0.7500
Li 0.7500 0.3750 0.1250
Li 0.3750 0.7500 0.6250
Li 0.2500 0.6250 0.8750
Li 0.8750 0.7500 0.1250
La 0.6250 0.8750 0.2500
La 0.5000 0.0000 0.5000
La 0.5000 0.5000 0.0000
La 0.0000 0.0000 0.5000
La 0.1250 0.3750 0.2500
La 0.7500 0.1250 0.8750
La 0.2500 0.8750 0.1250
La 0.5000 0.5000 0.5000
La 0.8750 0.6250 0.7500
La 0.6250 0.7500 0.8750
La 0.3750 0.2500 0.1250
La 0.2500 0.3750 0.6250
La 0.5000 0.0000 0.0000
La 0.0000 0.0000 0.0000
La 0.3750 0.1250 0.7500
La 0.0000 0.5000 0.5000
La 0.8750 0.2500 0.6250
La 0.0000 0.5000 0.0000
La 0.7500 0.6250 0.3750
La 0.1250 0.7500 0.3750
```

Uncorrected energy, eV/cell: -255.62
Spin magnetization, Bohr magnetons per cell: 0.00
Volume, Å³/cell: 3547
Crystal system: cubic
Calculated formation energy, eV per atom: 0.789

---

First-principles (PBE) data for a geometry-optimized Ce2NdY structure, as listed in Alexandria via LeMat-Bulk. Values from VASP.

Geometry as Quantum ESPRESSO input:
```
&SYSTEM
  ibrav = 0, nat = 4, ntyp = 3
/
ATOMIC_SPECIES
Ce 140.12 Ce.upf
Y 88.91 Y.upf
Nd 144.24 Nd.upf
CELL_PARAMETERS angstrom
-3.0040 -0.7762 4.1148
2.2207 -4.3435 0.8018
3.3473 2.2405 2.8663
ATOMIC_POSITIONS crystal
Ce 0.0000 0.5000 0.0000
Ce 0.0000 0.0000 0.5000
Y 0.5000 0.0000 0.0000
Nd 0.5000 0.5000 0.5000
```

Excess energy over the best structure of this formula in the dataset, eV/f.u.: 0.02
Uncorrected energy, eV/cell: -22.62
Spin magnetization, Bohr magnetons per cell: 1.70
Volume, Å³/cell: 126
Crystal system: tetragonal
Calculated formation energy, eV per atom: 0.119

---

First-principles (PBE) data for a geometry-optimized K2BaH6Os structure, as listed in Alexandria via LeMat-Bulk. Values from VASP.

Geometry as Quantum ESPRESSO input:
```
&SYSTEM
  ibrav = 0, nat = 10, ntyp = 4
/
ATOMIC_SPECIES
H 1.01 H.upf
Ba 137.33 Ba.upf
K 39.10 K.upf
Os 190.23 Os.upf
CELL_PARAMETERS angstrom
6.4030 0.0000 0.0000
0.0000 6.0539 0.0000
0.0000 -3.0270 5.2429
ATOMIC_POSITIONS crystal
H 0.1567 0.8633 0.7266
H 0.8433 0.1367 0.8633
H 0.1567 0.2734 0.1367
H 0.8433 0.1367 0.2734
H 0.1567 0.8633 0.1367
H 0.8433 0.7266 0.8633
Ba 0.5000 0.0000 0.0000
K 0.0865 0.3333 0.6667
K 0.9135 0.6667 0.3333
Os 0.0000 0.0000 0.0000
```

Uncorrected energy, eV/cell: -38.01
Spin magnetization, Bohr magnetons per cell: 0.00
Volume, Å³/cell: 203
Crystal system: trigonal

---

First-principles (PBE) data for a geometry-optimized Pr2Zn12Co5 structure, as listed in Alexandria via LeMat-Bulk. Values from VASP.

Geometry as Quantum ESPRESSO input:
```
&SYSTEM
  ibrav = 0, nat = 19, ntyp = 3
/
ATOMIC_SPECIES
Zn 65.41 Zn.upf
Co 58.93 Co.upf
Pr 140.91 Pr.upf
CELL_PARAMETERS angstrom
-4.8757 -2.4913 -3.8095
3.9708 -2.8023 -4.5684
0.0135 -6.1154 2.6631
ATOMIC_POSITIONS crystal
Zn 0.3422 0.3422 0.8619
Zn 0.7153 0.2847 0.0000
Zn 0.6578 0.6578 0.1381
Zn 0.3422 0.8619 0.3422
Zn 0.2847 0.7153 0.0000
Zn 0.7153 0.0000 0.2847
Zn 0.0000 0.2847 0.7153
Zn 0.2847 0.0000 0.7153
Zn 0.6578 0.1381 0.6578
Zn 0.0000 0.7153 0.2847
Zn 0.1381 0.6578 0.6578
Zn 0.8619 0.3422 0.3422
Co 0.0956 0.0956 0.0956
Co 0.0000 0.5000 0.0000
Co 0.9044 0.9044 0.9044
Co 0.0000 0.0000 0.5000
Co 0.5000 0.0000 0.0000
Pr 0.6643 0.6643 0.6643
Pr 0.3357 0.3357 0.3357
```

Uncorrected energy, eV/cell: -63.68
Spin magnetization, Bohr magnetons per cell: 5.58
Volume, Å³/cell: 291
Crystal system: trigonal
Calculated formation energy, eV per atom: -0.174

---

First-principles (PBE) data for a geometry-optimized YNi2W structure, as listed in Alexandria via LeMat-Bulk. Values from VASP.

Geometry as Quantum ESPRESSO input:
```
&SYSTEM
  ibrav = 0, nat = 4, ntyp = 3
/
ATOMIC_SPECIES
Ni 58.69 Ni.upf
W 183.84 W.upf
Y 88.91 Y.upf
CELL_PARAMETERS angstrom
-4.7921 -1.2864 -7.1213
-2.1928 -2.4900 -8.0202
-4.1321 -4.1297 -6.4190
ATOMIC_POSITIONS crystal
Ni 0.5099 0.5099 0.5099
Ni 0.9901 0.9901 0.9901
W 0.2500 0.2500 0.2500
Y 0.7500 0.7500 0.7500
```

Excess energy over the best structure of this formula in the dataset, eV/f.u.: 2.04
Uncorrected energy, eV/cell: -29.22
Spin magnetization, Bohr magnetons per cell: 0.00
Volume, Å³/cell: 66
Crystal system: trigonal
Calculated formation energy, eV per atom: 0.440

---

First-principles (PBE) data for a geometry-optimized K2Mn2I structure, as listed in Alexandria via LeMat-Bulk. Values from VASP.

Geometry as Quantum ESPRESSO input:
```
&SYSTEM
  ibrav = 0, nat = 10, ntyp = 3
/
ATOMIC_SPECIES
K 39.10 K.upf
Mn 54.94 Mn.upf
I 126.90 I.upf
CELL_PARAMETERS angstrom
-1.8216 -8.7739 1.1308
0.2941 -1.2139 -8.9453
4.4797 -0.8954 0.2688
ATOMIC_POSITIONS crystal
K 0.6940 0.8060 0.5000
K 0.1940 0.6940 0.5000
K 0.8060 0.3060 0.5000
K 0.3060 0.1940 0.5000
Mn 0.0976 0.4024 0.0000
Mn 0.4024 0.9024 0.0000
Mn 0.9024 0.5976 0.0000
Mn 0.5976 0.0976 0.0000
I 0.0000 0.0000 0.0000
I 0.5000 0.5000 0.0000
```

Excess energy over the best structure of this formula in the dataset, eV/f.u.: 0.00
E_form (uncorrected), eV/atom: 0.52
Uncorrected energy, eV/cell: -38.96
Spin magnetization, Bohr magnetons per cell: 18.62
Volume, Å³/cell: 373
Crystal system: tetragonal

---

First-principles (PBE) data for a geometry-optimized GaHRh3 structure, as listed in Alexandria via LeMat-Bulk. Values from VASP.

Geometry as Quantum ESPRESSO input:
```
&SYSTEM
  ibrav = 0, nat = 10, ntyp = 3
/
ATOMIC_SPECIES
Ga 69.72 Ga.upf
Rh 102.91 Rh.upf
H 1.01 H.upf
CELL_PARAMETERS angstrom
2.7647 0.0000 6.4085
-1.3824 2.3943 6.4085
-1.3824 -2.3943 6.4085
ATOMIC_POSITIONS crystal
Ga 0.6668 0.6668 0.6668
Ga 0.3332 0.3332 0.3332
Rh 0.4397 0.1071 0.7681
Rh 0.7681 0.4397 0.1071
Rh 0.2319 0.5603 0.8929
Rh 0.1071 0.7681 0.4397
Rh 0.5603 0.8929 0.2319
Rh 0.8929 0.2319 0.5603
H 0.8355 0.8355 0.8355
H 0.1645 0.1645 0.1645
```

Excess energy over the best structure of this formula in the dataset, eV/f.u.: 0.95
Uncorrected energy, eV/cell: -57.89
Spin magnetization, Bohr magnetons per cell: 0.00
Volume, Å³/cell: 127
Crystal system: trigonal

---

First-principles (PBE) data for a geometry-optimized Rb2USe3O structure, as listed in Alexandria via LeMat-Bulk. Values from VASP.

Geometry as Quantum ESPRESSO input:
```
&SYSTEM
  ibrav = 0, nat = 7, ntyp = 4
/
ATOMIC_SPECIES
Se 78.96 Se.upf
O 16.00 O.upf
U 238.03 U.upf
Rb 85.47 Rb.upf
CELL_PARAMETERS angstrom
-0.3740 4.2046 -0.1045
-5.5220 -0.4761 0.6088
3.9170 -1.5537 8.7788
ATOMIC_POSITIONS crystal
Se 0.8542 0.8542 0.7084
Se 0.0000 0.5000 0.0000
Se 0.1458 0.1458 0.2916
O 0.5000 0.0000 0.0000
U 0.0000 0.0000 0.0000
Rb 0.3434 0.3434 0.6867
Rb 0.6566 0.6566 0.3133
```

E_form (uncorrected), eV/atom: -1.55
Uncorrected energy, eV/cell: -39.50
Spin magnetization, Bohr magnetons per cell: 0.09
Volume, Å³/cell: 214
Crystal system: orthorhombic

---

First-principles (PBE) data for a geometry-optimized Cr3TcIr structure, as listed in Alexandria via LeMat-Bulk. Values from VASP.

Geometry as Quantum ESPRESSO input:
```
&SYSTEM
  ibrav = 0, nat = 5, ntyp = 3
/
ATOMIC_SPECIES
Ir 192.22 Ir.upf
Cr 52.00 Cr.upf
Tc 98.00 Tc.upf
CELL_PARAMETERS angstrom
-2.1403 -4.0237 -0.9252
1.4863 0.2213 -4.4010
3.8519 -2.3212 1.1842
ATOMIC_POSITIONS crystal
Ir 0.0000 0.0000 0.0000
Cr 0.5000 0.0000 0.0000
Cr 0.0000 0.0000 0.5000
Cr 0.0000 0.5000 0.0000
Tc 0.5000 0.5000 0.5000
```

Excess energy over the best structure of this formula in the dataset, eV/f.u.: 0.00
Uncorrected energy, eV/cell: -40.24
Spin magnetization, Bohr magnetons per cell: 6.46
Volume, Å³/cell: 101
Crystal system: cubic
Calculated formation energy, eV per atom: 1.571

---

First-principles (PBE) data for a geometry-optimized Li2PdI structure, as listed in Alexandria via LeMat-Bulk. Values from VASP.

Geometry as Quantum ESPRESSO input:
```
&SYSTEM
  ibrav = 0, nat = 8, ntyp = 3
/
ATOMIC_SPECIES
Li 6.94 Li.upf
Pd 106.42 Pd.upf
I 126.90 I.upf
CELL_PARAMETERS angstrom
-4.8463 -1.6731 -5.3970
-1.6355 -6.3905 3.4497
-5.3903 -2.6680 0.5337
ATOMIC_POSITIONS crystal
Li 0.3750 0.4009 0.7500
Li 0.5991 0.1250 0.2500
Li 0.1509 0.6250 0.2500
Li 0.8750 0.8491 0.7500
Pd 0.5000 0.5000 0.0000
Pd 0.2500 0.7500 0.5000
I 0.0000 0.0000 0.0000
I 0.7500 0.2500 0.5000
```

Excess energy over the best structure of this formula in the dataset, eV/f.u.: 0.07
E_form (uncorrected), eV/atom: -0.33
Uncorrected energy, eV/cell: -23.81
Spin magnetization, Bohr magnetons per cell: 0.00
Volume, Å³/cell: 164
Crystal system: tetragonal

---

First-principles (PBE) data for a geometry-optimized BaLaCl2 structure, as listed in Alexandria via LeMat-Bulk. Values from VASP.

Geometry as Quantum ESPRESSO input:
```
&SYSTEM
  ibrav = 0, nat = 4, ntyp = 3
/
ATOMIC_SPECIES
La 138.91 La.upf
Cl 35.45 Cl.upf
Ba 137.33 Ba.upf
CELL_PARAMETERS angstrom
8.8232 -0.0684 -0.0407
7.9767 3.7718 -0.0407
7.9767 1.7584 3.3371
ATOMIC_POSITIONS crystal
La 0.2500 0.2500 0.2500
Cl 0.9953 0.9953 0.9953
Cl 0.5047 0.5047 0.5047
Ba 0.7500 0.7500 0.7500
```

Excess energy over the best structure of this formula in the dataset, eV/f.u.: 0.00
E_form (uncorrected), eV/atom: -1.60
Uncorrected energy, eV/cell: -16.94
Spin magnetization, Bohr magnetons per cell: 0.00
Volume, Å³/cell: 114
Crystal system: trigonal